Entry 1:
TaSn2Mo2 | PBE | relaxed

```
TaSn2Mo2
1.0
7.648 0.000 0.000
0.000 7.648 0.000
0.000 0.000 3.215
Ta Sn Mo
2 4 4
Direct
0.000 0.000 0.000
0.500 0.500 0.000
0.152 0.348 0.000
0.348 0.848 0.000
0.652 0.152 0.000
0.848 0.652 0.000
0.144 0.644 0.500
0.356 0.144 0.500
0.644 0.856 0.500
0.856 0.356 0.500
```

Properties
Total DFT energy (no corrections): -7.880 eV per atom
Symmetry: P4/mbm
DFT formation energy: 0.424 eV/atom
Theoretical density: 10.78 g cm⁻³
DOS(E_F): 4.3 states/eV/f.u.



Entry 2:
Ta2SnMo | PBE | relaxed

```
Ta2SnMo
1.0
6.630 0.000 0.000
0.000 6.630 0.000
0.000 0.000 6.630
Ta Sn Mo
8 4 4
Direct
0.250 0.250 0.250
0.250 0.250 0.750
0.250 0.750 0.250
0.250 0.750 0.750
0.750 0.250 0.250
0.750 0.250 0.750
0.750 0.750 0.250
0.750 0.750 0.750
0.000 0.000 0.000
0.000 0.500 0.500
0.500 0.000 0.500
0.500 0.500 0.000
0.000 0.000 0.500
0.000 0.500 0.000
0.500 0.000 0.000
0.500 0.500 0.500
```

Properties
Total DFT energy (no corrections): -9.422 eV per atom
Symmetry: Fm-3m
DFT formation energy: 0.213 eV/atom
Theoretical density: 13.14 g cm⁻³
DOS(E_F): 3.5 states/eV/f.u.



Entry 3:
Ta6SnMo | PBE | relaxed

```
Ta6SnMo
1.0
3.369 -6.602 0.000
3.369 6.602 0.000
0.000 0.000 13.113
Ta Sn Mo
24 4 4
Direct
0.000 0.000 0.000
0.000 0.000 0.500
0.129 0.390 0.379
0.129 0.390 0.621
0.144 0.385 0.129
0.144 0.385 0.871
0.245 0.755 0.248
0.245 0.755 0.752
0.385 0.144 0.129
0.385 0.144 0.871
0.390 0.129 0.379
0.390 0.129 0.621
0.500 0.500 0.000
0.500 0.500 0.500
0.610 0.871 0.379
0.610 0.871 0.621
0.615 0.856 0.129
0.615 0.856 0.871
0.755 0.245 0.248
0.755 0.245 0.752
0.856 0.615 0.129
0.856 0.615 0.871
0.871 0.610 0.379
0.871 0.610 0.621
0.000 0.000 0.257
0.000 0.000 0.743
0.239 0.761 0.000
0.761 0.239 0.000
0.247 0.753 0.500
0.500 0.500 0.254
0.500 0.500 0.746
0.753 0.247 0.500
```

Properties
Total DFT energy (no corrections): -10.778 eV per atom
Symmetry: Cmmm
DFT formation energy: -0.035 eV/atom
Theoretical density: 14.80 g cm⁻³
DOS(E_F): 6.6 states/eV/f.u.



Entry 4:
TaTcSnMo | PBE | relaxed

```
TaTcSnMo
1.0
6.486 0.000 0.000
0.000 6.486 0.000
0.000 0.000 6.486
Ta Tc Sn Mo
4 4 4 4
Direct
0.000 0.000 0.000
0.000 0.500 0.500
0.500 0.000 0.500
0.500 0.500 0.000
0.250 0.250 0.250
0.250 0.750 0.750
0.750 0.250 0.750
0.750 0.750 0.250
0.000 0.000 0.500
0.000 0.500 0.000
0.500 0.000 0.000
0.500 0.500 0.500
0.250 0.250 0.750
0.250 0.750 0.250
0.750 0.250 0.250
0.750 0.750 0.750
```

Properties
Total DFT energy (no corrections): -9.302 eV per atom
Symmetry: F-43m
DFT formation energy: -0.039 eV/atom
Theoretical density: 12.02 g cm⁻³
DOS(E_F): 3.9 states/eV/f.u.



Entry 5:
TaTiSnMo | PBE | relaxed

```
TaTiSnMo
1.0
6.557 0.000 0.000
0.000 6.557 0.000
0.000 0.000 6.557
Ta Ti Sn Mo
4 4 4 4
Direct
0.000 0.000 0.000
0.000 0.500 0.500
0.500 0.000 0.500
0.500 0.500 0.000
0.250 0.250 0.250
0.250 0.750 0.750
0.750 0.250 0.750
0.750 0.750 0.250
0.000 0.000 0.500
0.000 0.500 0.000
0.500 0.000 0.000
0.500 0.500 0.500
0.250 0.250 0.750
0.250 0.750 0.250
0.750 0.250 0.250
0.750 0.750 0.750
```

Properties
Total DFT energy (no corrections): -8.725 eV per atom
Symmetry: F-43m
DFT formation energy: -0.080 eV/atom
Theoretical density: 10.45 g cm⁻³
DOS(E_F): 4.1 states/eV/f.u.



Entry 6:
TaSnMo2W | PBE | relaxed

```
TaSnMo2W
1.0
4.680 0.000 0.000
0.000 4.680 0.000
0.000 0.000 5.103
Ta Sn Mo W
1 1 2 1
Direct
0.000 0.000 0.000
0.000 0.000 0.500
0.000 0.500 0.000
0.500 0.000 0.000
0.500 0.500 0.500
```

Properties
Total DFT energy (no corrections): -7.854 eV per atom
Symmetry: P4/mmm
DFT formation energy: 2.240 eV/atom
Theoretical density: 10.03 g cm⁻³
DOS(E_F): 10.5 states/eV/f.u.